[1]
DFT (GGA-PBE) results for KTl7In5 after structural relaxation.

a b c (Å): 6.2769 8.5365 8.5365
angles (deg): 82.24 69.68 69.68
Positions (direct):
K: 0.9999 0.0002 0.0002
Tl: 0.6415 0.3565 0.3565
Tl: 0.3586 0.6448 0.6448
Tl: 0.9988 0.3533 0.6473
Tl: 0.9988 0.6473 0.3533
Tl: 0.2765 0.2183 0.2183
Tl: 0.5004 0.7956 0.2033
Tl: 0.5004 0.2033 0.7956
In: 0.5014 0.9962 0.5029
In: 0.0003 0.9952 0.5050
In: 0.5014 0.5029 0.9962
In: 0.0003 0.5050 0.9952
In: 0.7216 0.7814 0.7814

## Properties
SG: Cm, No. 8
Energy relative to the elements in eV/atom: -0.018
Electronic total energy in eV/cell: -31.58
Total moment in μB per cell: 0.00


[2]
DFT (GGA-PBE) results for K3Tl3In2 after structural relaxation.

a b c (Å): 5.3646 6.4210 17.9650
angles (deg): 90.00 90.00 114.69
Positions (direct):
K: 0.6555 0.3111 0.0367
K: 0.3445 0.6889 0.5367
K: 0.6555 0.3111 0.4633
K: 0.3445 0.6889 0.9633
K: 0.5246 0.0492 0.2500
K: 0.4754 0.9508 0.7500
Tl: 0.9681 0.9362 0.0987
Tl: 0.0319 0.0638 0.5987
Tl: 0.9681 0.9362 0.4013
Tl: 0.0319 0.0638 0.9013
Tl: 0.8209 0.6418 0.2500
Tl: 0.1791 0.3582 0.7500
In: 0.7625 0.5250 0.6619
In: 0.2375 0.4750 0.1619
In: 0.7625 0.5250 0.8381
In: 0.2375 0.4750 0.3381

## Properties
SG: Cmcm, No. 63
Energy relative to the elements in eV/atom: -0.074
Electronic total energy in eV/cell: -32.92
Total moment in μB per cell: 0.00


[3]
DFT (GGA-PBE) results for K2TlIn after structural relaxation.

a b c (Å): 3.7530 3.7530 10.8427
angles (deg): 90.00 90.00 95.67
Positions (direct):
In: 0.5000 0.5000 0.7500
K: 0.0000 0.0000 0.9983
K: 0.0000 0.0000 0.5017
Tl: 0.5000 0.5000 0.2500

## Properties
SG: Cmmm, No. 65
Energy relative to the elements in eV/atom: 0.044
Electronic total energy in eV/cell: -7.13
Polymorph energy (0 for the lowest one) in meV/atom: 139.9
Total moment in μB per cell: 0.00


> Look up the energy relative to the elements of the second one.

-0.074 eV/atom


Please write out number 1 again, unchanged.
DFT (GGA-PBE) results for KTl7In5 after structural relaxation.

a b c (Å): 6.2769 8.5365 8.5365
angles (deg): 82.24 69.68 69.68
Positions (direct):
K: 0.9999 0.0002 0.0002
Tl: 0.6415 0.3565 0.3565
Tl: 0.3586 0.6448 0.6448
Tl: 0.9988 0.3533 0.6473
Tl: 0.9988 0.6473 0.3533
Tl: 0.2765 0.2183 0.2183
Tl: 0.5004 0.7956 0.2033
Tl: 0.5004 0.2033 0.7956
In: 0.5014 0.9962 0.5029
In: 0.0003 0.9952 0.5050
In: 0.5014 0.5029 0.9962
In: 0.0003 0.5050 0.9952
In: 0.7216 0.7814 0.7814

## Properties
SG: Cm, No. 8
Energy relative to the elements in eV/atom: -0.018
Electronic total energy in eV/cell: -31.58
Total moment in μB per cell: 0.00